Compound: La2NdRh
Source: Alexandria
Functional: PBE-GGA
Structure: relaxed

Geometry as POSCAR:
```
La2NdRh
1.0
1.9647 -6.0940 0.0000
1.9647 6.0940 0.0000
0.0000 0.0000 10.1598
La Nd Rh
4 2 2
direct
0.1399 0.8601 0.5669
0.1399 0.8601 0.9331
0.8601 0.1399 0.0669
0.8601 0.1399 0.4331
0.4149 0.5851 0.7500
0.5851 0.4149 0.2500
0.2773 0.7227 0.2500
0.7227 0.2773 0.7500
```

Properties
The distance to the lowest polymorph of the same formula is 0.026 eV per atom. The value obtained for the formation energy is -0.41 eV/atom.

Compound: Se2BrO3F6
Source: Alexandria
Functional: PBE-GGA
Structure: relaxed

Geometry as POSCAR:
```
Se2BrO3F6
1.0
5.1397 -2.9677 0.0000
5.1397 2.9677 0.0000
-0.0635 0.0000 6.6737
Se Br O F
2 1 3 6
direct
0.1684 0.1684 0.0954
0.8316 0.8316 0.9046
0.5000 0.5000 0.5000
0.0000 0.0000 0.0000
0.0000 0.5000 0.0000
0.5000 0.0000 0.0000
0.1585 0.6146 0.5976
0.3854 0.8415 0.4024
0.4122 0.4122 0.2492
0.5878 0.5878 0.7508
0.6146 0.1585 0.5976
0.8415 0.3854 0.4024
```

Properties
The raw formation energy comes out at -0.770 eV/atom.

Number 1: energy -23.6 eV per formula unit, volume 243.3 Å³ per cell. Number 2: energy -44.0 eV per formula unit, volume 203.6 Å³ per cell.